A) Compound: TcHgBr
Source: the Alexandria database
Functional: SCAN
Structure: single point on PBEsol structure

As for the symmetry: No. 107. Its crystal system is tetragonal. Its density of states at the Fermi level is 1.9 states/eV/f.u.

a b c (Å): 3.0393 3.0393 12.6803
angles (deg): 90.00 90.00 90.00
Positions (direct):
Tc 0.0000 0.0000 0.0000
Tc 0.5000 0.5000 0.5000
Hg 0.0000 0.0000 0.3388
Hg 0.5000 0.5000 0.8388
Br 0.0000 0.0000 0.6055
Br 0.5000 0.5000 0.1055


B) Compound: TcHgBr
Source: the Alexandria database
Functional: SCAN
Structure: single point on PBEsol structure

As for the symmetry: No. 187. Its crystal system is hexagonal. Its density of states at the Fermi level is 2.0 states/eV/f.u.

a b c (Å): 4.5189 4.5189 3.1992
angles (deg): 90.00 90.00 120.00
Positions (direct):
Tc 0.0000 0.0000 0.0000
Hg 0.6667 0.3333 0.5000
Br 0.3333 0.6667 0.0000


Quick ranking, most stable first: A), B).


A) Compound: TlHg2Br
Source: the Alexandria database
Functional: SCAN
Structure: single point on PBEsol structure

As for the symmetry: No. 99. Its crystal system is tetragonal. Its density of states at the Fermi level is 0.1 states/eV/f.u.

a b c (Å): 3.9145 3.9145 7.3901
angles (deg): 90.00 90.00 90.00
Positions (direct):
Tl 0.0000 0.0000 0.0000
Hg 0.0000 0.0000 0.5056
Hg 0.5000 0.5000 0.7023
Br 0.5000 0.5000 0.2121


B) Compound: TlHg2Br
Source: the Alexandria database
Functional: SCAN
Structure: single point on PBEsol structure

As for the symmetry: No. 8. Its crystal system is monoclinic. Its density of states at the Fermi level is 0.1 states/eV/f.u.

a b c (Å): 8.9945 5.1216 5.7307
angles (deg): 90.00 120.66 90.00
Positions (direct):
Tl 0.0000 0.0000 0.0000
Tl 0.5000 0.5000 0.0000
Hg 0.0197 0.5000 0.5620
Hg 0.2462 0.0000 0.7388
Hg 0.5197 0.0000 0.5620
Hg 0.7462 0.5000 0.7388
Br 0.2564 0.5000 0.2711
Br 0.7564 0.0000 0.2711


Quick ranking, most stable first: A), B).


A) Compound: TlHg2Br
Source: the Alexandria database
Functional: SCAN
Structure: single point on PBEsol structure

As for the symmetry: No. 123. Its crystal system is tetragonal. Its density of states at the Fermi level is 0.3 states/eV/f.u.

a b c (Å): 4.4859 4.4859 5.6089
angles (deg): 90.00 90.00 90.00
Positions (direct):
Tl 0.0000 0.0000 0.0000
Hg 0.0000 0.5000 0.5000
Hg 0.5000 0.0000 0.5000
Br 0.5000 0.5000 0.0000


B) Compound: TlHg2Br
Source: the Alexandria database
Functional: SCAN
Structure: single point on PBEsol structure

As for the symmetry: No. 6. Its crystal system is monoclinic. Its density of states at the Fermi level is 0.5 states/eV/f.u.

a b c (Å): 4.4462 4.2158 6.6986
angles (deg): 90.00 109.33 90.00
Positions (direct):
Tl 0.0000 0.0000 0.0000
Hg 0.2727 0.0000 0.5379
Hg 0.8021 0.5000 0.5960
Br 0.5568 0.5000 0.1126


Quick ranking, most stable first: B), A).


A) Compound: TlHg2Br
Source: the Alexandria database
Functional: SCAN
Structure: single point on PBEsol structure

As for the symmetry: No. 139. Its crystal system is tetragonal. Its density of states at the Fermi level is 0.4 states/eV/f.u.

a b c (Å): 4.4370 4.4370 11.4090
angles (deg): 90.00 90.00 90.00
Positions (direct):
Tl 0.0000 0.0000 0.0000
Tl 0.5000 0.5000 0.5000
Hg 0.0000 0.5000 0.2500
Hg 0.0000 0.5000 0.7500
Hg 0.5000 0.0000 0.2500
Hg 0.5000 0.0000 0.7500
Br 0.0000 0.0000 0.5000
Br 0.5000 0.5000 0.0000


B) Compound: TlHg2Br
Source: the Alexandria database
Functional: SCAN
Structure: single point on PBEsol structure

As for the symmetry: No. 69. Its crystal system is orthorhombic. Its density of states at the Fermi level is 0.5 states/eV/f.u.

a b c (Å): 6.1381 6.3216 11.9099
angles (deg): 90.00 90.00 90.00
Positions (direct):
Tl 0.0000 0.0000 0.0000
Tl 0.0000 0.5000 0.5000
Tl 0.5000 0.0000 0.5000
Tl 0.5000 0.5000 0.0000
Hg 0.0000 0.2500 0.2500
Hg 0.0000 0.2500 0.7500
Hg 0.0000 0.7500 0.2500
Hg 0.0000 0.7500 0.7500
Hg 0.5000 0.2500 0.2500
Hg 0.5000 0.2500 0.7500
Hg 0.5000 0.7500 0.2500
Hg 0.5000 0.7500 0.7500
Br 0.0000 0.0000 0.5000
Br 0.0000 0.5000 0.0000
Br 0.5000 0.0000 0.0000
Br 0.5000 0.5000 0.5000


Quick ranking, most stable first: A), B).


A) Compound: HgWBr2
Source: the Alexandria database
Functional: SCAN
Structure: single point on PBEsol structure

As for the symmetry: No. 65. Its crystal system is orthorhombic. Its density of states at the Fermi level is 1.7 states/eV/f.u.

a b c (Å): 3.0727 5.8607 10.4215
angles (deg): 90.00 90.00 90.00
Positions (direct):
Hg 0.0000 0.0000 0.0000
Hg 0.5000 0.5000 0.0000
W 0.0000 0.0000 0.5000
W 0.5000 0.5000 0.5000
Br 0.0000 0.5000 0.3041
Br 0.0000 0.5000 0.6959
Br 0.5000 0.0000 0.3041
Br 0.5000 0.0000 0.6959


B) Compound: HgWBr2
Source: the Alexandria database
Functional: SCAN
Structure: single point on PBEsol structure

As for the symmetry: No. 166. Its crystal system is trigonal. Its density of states at the Fermi level is 3.1 states/eV/f.u.

a b c (Å): 3.0988 3.0988 33.0455
angles (deg): 90.00 90.00 120.00
Positions (direct):
Hg 0.0000 0.0000 0.0000
Hg 0.3333 0.6667 0.6667
Hg 0.6667 0.3333 0.3333
W 0.0000 0.0000 0.5000
W 0.3333 0.6667 0.1667
W 0.6667 0.3333 0.8333
Br 0.0000 0.0000 0.4277
Br 0.0000 0.0000 0.5723
Br 0.3333 0.6667 0.0943
Br 0.3333 0.6667 0.2390
Br 0.6667 0.3333 0.7610
Br 0.6667 0.3333 0.9057


C) Compound: HgWBr2
Source: the Alexandria database
Functional: SCAN
Structure: single point on PBEsol structure

As for the symmetry: No. 8. Its crystal system is monoclinic. Its density of states at the Fermi level is 1.7 states/eV/f.u.

a b c (Å): 10.4918 3.1041 6.9374
angles (deg): 90.00 114.37 90.00
Positions (direct):
Hg 0.0000 0.0000 0.0000
Hg 0.5000 0.5000 0.0000
W 0.2627 0.0000 0.9998
W 0.7627 0.5000 0.9998
Br 0.1617 0.5000 0.6809
Br 0.3355 0.5000 0.3189
Br 0.6617 0.0000 0.6809
Br 0.8355 0.0000 0.3189


Quick ranking, most stable first: C), A), B).


A) Compound: HgW2Br
Source: the Alexandria database
Functional: SCAN
Structure: single point on PBEsol structure

As for the symmetry: No. 12. Its crystal system is monoclinic. Its density of states at the Fermi level is 2.8 states/eV/f.u.

a b c (Å): 5.4807 10.2060 2.9877
angles (deg): 90.00 117.71 90.00
Positions (direct):
Hg 0.0000 0.0000 0.0000
Hg 0.5000 0.5000 0.0000
W 0.2500 0.2500 0.0000
W 0.2500 0.7500 0.0000
W 0.7500 0.2500 0.0000
W 0.7500 0.7500 0.0000
Br 0.0000 0.5000 0.0000
Br 0.5000 0.0000 0.0000


B) Compound: HgW2Br
Source: the Alexandria database
Functional: SCAN
Structure: single point on PBEsol structure

As for the symmetry: No. 119. Its crystal system is tetragonal. Its density of states at the Fermi level is 2.3 states/eV/f.u.

a b c (Å): 4.4059 4.4059 7.3156
angles (deg): 90.00 90.00 90.00
Positions (direct):
Hg 0.0000 0.0000 0.0000
Hg 0.5000 0.5000 0.5000
W 0.0000 0.0000 0.5000
W 0.0000 0.5000 0.2500
W 0.5000 0.0000 0.7500
W 0.5000 0.5000 0.0000
Br 0.0000 0.5000 0.7500
Br 0.5000 0.0000 0.2500


Quick ranking, most stable first: A), B).


A) Compound: HgWBr
Source: the Alexandria database
Functional: SCAN
Structure: single point on PBEsol structure

As for the symmetry: No. 107. Its crystal system is tetragonal. Its density of states at the Fermi level is 2.3 states/eV/f.u.

a b c (Å): 3.0469 3.0469 12.8435
angles (deg): 90.00 90.00 90.00
Positions (direct):
Hg 0.0000 0.0000 0.0000
Hg 0.5000 0.5000 0.5000
W 0.0000 0.0000 0.6510
W 0.5000 0.5000 0.1510
Br 0.0000 0.0000 0.2711
Br 0.5000 0.5000 0.7711


B) Compound: HgWBr
Source: the Alexandria database
Functional: SCAN
Structure: single point on PBEsol structure

As for the symmetry: No. 216. Its crystal system is cubic. Its density of states at the Fermi level is 2.0 states/eV/f.u.

a b c (Å): 6.3344 6.3344 6.3344
angles (deg): 90.00 90.00 90.00
Positions (direct):
Hg 0.0000 0.0000 0.0000
Hg 0.0000 0.5000 0.5000
Hg 0.5000 0.0000 0.5000
Hg 0.5000 0.5000 0.0000
W 0.0000 0.0000 0.5000
W 0.0000 0.5000 0.0000
W 0.5000 0.0000 0.0000
W 0.5000 0.5000 0.5000
Br 0.2500 0.2500 0.2500
Br 0.2500 0.7500 0.7500
Br 0.7500 0.2500 0.7500
Br 0.7500 0.7500 0.2500


Quick ranking, most stable first: A), B).


A) Compound: Zn2HgBr
Source: the Alexandria database
Functional: SCAN
Structure: single point on PBEsol structure

As for the symmetry: No. 12. Its crystal system is monoclinic. Its density of states at the Fermi level is 1.4 states/eV/f.u.

a b c (Å): 6.2605 7.9561 3.6361
angles (deg): 90.00 111.52 90.00
Positions (direct):
Zn 0.2500 0.2500 0.0000
Zn 0.2500 0.7500 0.0000
Zn 0.7500 0.2500 0.0000
Zn 0.7500 0.7500 0.0000
Hg 0.0000 0.0000 0.5000
Hg 0.5000 0.5000 0.5000
Br 0.0000 0.5000 0.5000
Br 0.5000 0.0000 0.5000


B) Compound: Zn2HgBr
Source: the Alexandria database
Functional: SCAN
Structure: single point on PBEsol structure

As for the symmetry: No. 35. Its crystal system is orthorhombic. Its density of states at the Fermi level is 0.6 states/eV/f.u.

a b c (Å): 3.6744 5.7736 8.1667
angles (deg): 90.00 90.00 90.00
Positions (direct):
Zn 0.0000 0.0000 0.0000
Zn 0.0000 0.5000 0.2127
Zn 0.5000 0.0000 0.2127
Zn 0.5000 0.5000 0.0000
Hg 0.0000 0.0000 0.4568
Hg 0.5000 0.5000 0.4568
Br 0.0000 0.5000 0.7840
Br 0.5000 0.0000 0.7840


Quick ranking, most stable first: B), A).


A) Compound: Zn2HgBr
Source: the Alexandria database
Functional: SCAN
Structure: single point on PBEsol structure

As for the symmetry: No. 123. Its crystal system is tetragonal. Its density of states at the Fermi level is 1.7 states/eV/f.u.

a b c (Å): 3.3030 3.3030 7.2930
angles (deg): 90.00 90.00 90.00
Positions (direct):
Zn 0.0000 0.0000 0.2425
Zn 0.0000 0.0000 0.7575
Hg 0.5000 0.5000 0.0000
Br 0.5000 0.5000 0.5000


B) Compound: Zn2HgBr
Source: the Alexandria database
Functional: SCAN
Structure: single point on PBEsol structure

As for the symmetry: No. 99. Its crystal system is tetragonal. Its density of states at the Fermi level is 1.0 states/eV/f.u.

a b c (Å): 3.2488 3.2488 7.7538
angles (deg): 90.00 90.00 90.00
Positions (direct):
Zn 0.0000 0.0000 0.0000
Zn 0.5000 0.5000 0.2009
Hg 0.5000 0.5000 0.7579
Br 0.0000 0.0000 0.4069


Quick ranking, most stable first: B), A).


A) Compound: ZrHgBr2
Source: the Alexandria database
Functional: SCAN
Structure: single point on PBEsol structure

As for the symmetry: No. 166. Its crystal system is trigonal. Its density of states at the Fermi level is 1.0 states/eV/f.u.

a b c (Å): 3.4045 3.4045 30.5338
angles (deg): 90.00 90.00 120.00
Positions (direct):
Zr 0.0000 0.0000 0.0000
Zr 0.3333 0.6667 0.6667
Zr 0.6667 0.3333 0.3333
Hg 0.0000 0.0000 0.5000
Hg 0.3333 0.6667 0.1667
Hg 0.6667 0.3333 0.8333
Br 0.0000 0.0000 0.2710
Br 0.0000 0.0000 0.7290
Br 0.3333 0.6667 0.3957
Br 0.3333 0.6667 0.9376
Br 0.6667 0.3333 0.0624
Br 0.6667 0.3333 0.6043


B) Compound: ZrHgBr2
Source: the Alexandria database
Functional: SCAN
Structure: single point on PBEsol structure

As for the symmetry: No. 12. Its crystal system is monoclinic. Its density of states at the Fermi level is 1.6 states/eV/f.u.

a b c (Å): 6.5027 9.5133 3.3548
angles (deg): 90.00 118.20 90.00
Positions (direct):
Zr 0.0000 0.0000 0.0000
Zr 0.5000 0.5000 0.0000
Hg 0.0000 0.5000 0.0000
Hg 0.5000 0.0000 0.0000
Br 0.2500 0.2500 0.0000
Br 0.2500 0.7500 0.0000
Br 0.7500 0.2500 0.0000
Br 0.7500 0.7500 0.0000


Quick ranking, most stable first: A), B).


A) Compound: K2IBr
Source: the Alexandria database
Functional: SCAN
Structure: single point on PBEsol structure

As for the symmetry: No. 225. Its crystal system is cubic. Its density of states at the Fermi level is 0.0 states/eV/f.u.

a b c (Å): 8.1789 8.1789 8.1789
angles (deg): 90.00 90.00 90.00
Positions (direct):
K 0.2500 0.2500 0.2500
K 0.2500 0.2500 0.7500
K 0.2500 0.7500 0.2500
K 0.2500 0.7500 0.7500
K 0.7500 0.2500 0.2500
K 0.7500 0.2500 0.7500
K 0.7500 0.7500 0.2500
K 0.7500 0.7500 0.7500
I 0.0000 0.0000 0.0000
I 0.0000 0.5000 0.5000
I 0.5000 0.0000 0.5000
I 0.5000 0.5000 0.0000
Br 0.0000 0.0000 0.5000
Br 0.0000 0.5000 0.0000
Br 0.5000 0.0000 0.0000
Br 0.5000 0.5000 0.5000


B) Compound: K2IBr
Source: the Alexandria database
Functional: SCAN
Structure: single point on PBEsol structure

As for the symmetry: No. 122. Its crystal system is tetragonal. Its density of states at the Fermi level is 0.0 states/eV/f.u.

a b c (Å): 8.6275 8.6275 9.4357
angles (deg): 90.00 90.00 90.00
Positions (direct):
K 0.2273 0.2500 0.1250
K 0.2500 0.7273 0.3750
K 0.2500 0.7727 0.8750
K 0.2727 0.2500 0.6250
K 0.7273 0.7500 0.6250
K 0.7500 0.2273 0.8750
K 0.7500 0.2727 0.3750
K 0.7727 0.7500 0.1250
I 0.0000 0.0000 0.5000
I 0.0000 0.5000 0.7500
I 0.5000 0.0000 0.2500
I 0.5000 0.5000 0.0000
Br 0.0000 0.0000 0.0000
Br 0.0000 0.5000 0.2500
Br 0.5000 0.0000 0.7500
Br 0.5000 0.5000 0.5000


Quick ranking, most stable first: A), B).